{
  "formula": "YInGe2Cl",
  "functional": "GGA-PBEsol",
  "state": "optimized geometry",
  "lattice": [[-0.602, 4.973, -0.714], [-2.492, -0.988, -4.779], [-4.836, -0.216, 2.567]],
  "species": ["Y", "Ge", "Ge", "Cl", "In"],
  "frac_coords": [[0.000, 0.000, 0.000], [0.000, 0.000, 0.500], [0.000, 0.500, 0.000], [0.500, 0.000, 0.000], [0.500, 0.500, 0.500]],
  "magnetic_moment_mub_per_fu": 0.00,
  "volume_a3_per_cell": 152,
  "n_ef_per_ev_atom": 1.00,
  "formation_energy_uncorrected_ev_per_atom": 0.04
}

{
  "formula": "RbNi3As",
  "functional": "GGA-PBEsol",
  "state": "optimized geometry",
  "lattice": [[4.522, 0.000, 0.000], [0.000, 4.522, 0.000], [0.000, 0.000, 4.522]],
  "species": ["Ni", "Ni", "Ni", "As", "Rb"],
  "frac_coords": [[0.000, 0.500, 0.000], [0.000, 0.000, 0.500], [0.500, 0.000, 0.000], [0.500, 0.500, 0.500], [0.000, 0.000, 0.000]],
  "magnetic_moment_mub_per_fu": 0.00,
  "volume_a3_per_cell": 92,
  "e_form_ev_per_atom": 2.153,
  "n_ef_per_ev_atom": 0.95
}

{
  "formula": "Sr2Zn3Au6",
  "functional": "GGA-PBEsol",
  "state": "optimized geometry",
  "lattice": [[-8.039, -1.706, 1.485], [-2.451, -7.903, 1.134], [-2.322, -2.546, 7.990]],
  "species": ["Sr", "Sr", "Sr", "Sr", "Zn", "Zn", "Zn", "Zn", "Zn", "Zn", "Au", "Au", "Au", "Au", "Au", "Au", "Au", "Au", "Au", "Au", "Au", "Au"],
  "frac_coords": [[0.908, 0.908, 0.275], [0.408, 0.408, 0.775], [0.092, 0.092, 0.725], [0.592, 0.592, 0.225], [0.939, 0.750, 0.750], [0.750, 0.561, 0.750], [0.561, 0.939, 0.750], [0.061, 0.250, 0.250], [0.250, 0.439, 0.250], [0.439, 0.061, 0.250], [0.205, 0.864, 0.452], [0.864, 0.480, 0.452], [0.480, 0.205, 0.452], [0.980, 0.364, 0.952], [0.364, 0.705, 0.952], [0.705, 0.980, 0.952], [0.795, 0.136, 0.548], [0.136, 0.520, 0.548], [0.520, 0.795, 0.548], [0.020, 0.636, 0.048], [0.636, 0.295, 0.048], [0.295, 0.020, 0.048]],
  "magnetic_moment_mub_per_fu": 0.00,
  "volume_a3_per_cell": 438,
  "e_form_ev_per_atom": -0.530,
  "n_ef_per_ev_atom": 0.31
}

{
  "formula": "K2Hg",
  "functional": "GGA-PBEsol",
  "state": "optimized geometry",
  "lattice": [[4.722, 0.000, 0.000], [0.000, 5.994, 0.000], [-2.361, 0.000, 8.750]],
  "species": ["K", "K", "K", "K", "Hg", "Hg"],
  "frac_coords": [[0.439, 0.250, 0.879], [0.561, 0.750, 0.121], [0.750, 0.250, 0.499], [0.250, 0.750, 0.501], [0.103, 0.250, 0.207], [0.897, 0.750, 0.793]],
  "magnetic_moment_mub_per_fu": 0.00,
  "volume_a3_per_cell": 248,
  "e_form_ev_per_atom": -0.085,
  "n_ef_per_ev_atom": 0.42,
  "e_above_lowest_polymorph_mev_per_atom": 53.9
}

{
  "formula": "Be2CdW",
  "functional": "GGA-PBEsol",
  "state": "optimized geometry",
  "lattice": [[3.442, 0.000, 0.000], [0.000, 3.442, 0.000], [-1.721, -1.721, 4.397]],
  "species": ["Be", "Be", "W", "Cd"],
  "frac_coords": [[0.000, 0.000, 0.000], [0.750, 0.250, 0.500], [0.250, 0.750, 0.500], [0.500, 0.500, 0.000]],
  "magnetic_moment_mub_per_fu": 0.00,
  "volume_a3_per_cell": 52,
  "e_form_ev_per_atom": 0.542,
  "n_ef_per_ev_atom": 0.34
}

{
  "formula": "ZnCdIn2",
  "functional": "GGA-PBEsol",
  "state": "optimized geometry",
  "lattice": [[3.095, 0.074, 0.000], [-0.080, 3.095, 0.000], [0.000, 0.000, 8.921]],
  "species": ["Zn", "Cd", "In", "In"],
  "frac_coords": [[0.000, 0.000, 0.489], [0.500, 0.500, 0.281], [0.000, 0.000, 0.013], [0.500, 0.500, 0.717]],
  "magnetic_moment_mub_per_fu": 0.00,
  "volume_a3_per_cell": 86,
  "e_form_ev_per_atom": 0.063,
  "n_ef_per_ev_atom": 0.35,
  "e_above_lowest_polymorph_mev_per_atom": 0.0
}

{
  "formula": "Sr2SiPt",
  "functional": "GGA-PBEsol",
  "state": "optimized geometry",
  "lattice": [[6.338, 0.000, 0.000], [3.169, 5.791, 0.000], [3.169, 0.000, 5.791]],
  "species": ["Sr", "Sr", "Sr", "Sr", "Si", "Si", "Pt", "Pt"],
  "frac_coords": [[0.099, 0.026, 0.526], [0.651, 0.974, 0.474], [0.375, 0.526, 0.974], [0.875, 0.474, 0.026], [0.250, 0.500, 0.500], [0.500, 0.000, 0.000], [0.750, 0.500, 0.500], [0.000, 0.000, 0.000]],
  "magnetic_moment_mub_per_fu": 0.00,
  "volume_a3_per_cell": 213,
  "n_ef_per_ev_atom": 1.00,
  "formation_energy_uncorrected_ev_per_atom": -0.04
}

{
  "formula": "BeGa3Pt",
  "functional": "GGA-PBEsol",
  "state": "optimized geometry",
  "lattice": [[4.758, 0.000, 0.000], [0.000, 4.758, 0.000], [0.000, 0.000, 4.758]],
  "species": ["Be", "Ga", "Ga", "Ga", "Pt"],
  "frac_coords": [[0.500, 0.500, 0.500], [0.000, 0.500, 0.000], [0.000, 0.000, 0.500], [0.500, 0.000, 0.000], [0.000, 0.000, 0.000]],
  "magnetic_moment_mub_per_fu": 0.00,
  "volume_a3_per_cell": 108,
  "e_form_ev_per_atom": 0.356,
  "n_ef_per_ev_atom": 0.30
}

Please write out number 1 again, unchanged.
{
  "formula": "YInGe2Cl",
  "functional": "GGA-PBEsol",
  "state": "optimized geometry",
  "lattice": [[-0.602, 4.973, -0.714], [-2.492, -0.988, -4.779], [-4.836, -0.216, 2.567]],
  "species": ["Y", "Ge", "Ge", "Cl", "In"],
  "frac_coords": [[0.000, 0.000, 0.000], [0.000, 0.000, 0.500], [0.000, 0.500, 0.000], [0.500, 0.000, 0.000], [0.500, 0.500, 0.500]],
  "magnetic_moment_mub_per_fu": 0.00,
  "volume_a3_per_cell": 152,
  "n_ef_per_ev_atom": 1.00,
  "formation_energy_uncorrected_ev_per_atom": 0.04
}